# 1
DFT (PBE) results for a geometry-optimized PaSn2 structure.

Cell lengths 3.8112, 3.8112, 5.9608 Å; angles 108.62, 108.62, 90.16 degrees
With the nearest neighbours (Å) after each atom.
Fractional coordinates of all 3 atoms:
Sn 0.1792 0.1792 0.3583  4 Sn 3.08-3.09, 5 Pa 3.30-3.41
Sn 0.8208 0.8208 0.6417  4 Sn 3.08-3.09, 5 Pa 3.30-3.41
Pa 0.5000 0.5000 0.0000  10 Sn 3.30-3.41

Computed properties:
The calculated density comes out at 10.07 g/cm3. As for the space group: Fmmm. The calculation puts the total energy at -17.6 eV per cell.

# 2
DFT (PBE) results for a geometry-optimized Pa2Sn structure.

Cell lengths 3.2394, 5.3513, 8.7865 Å; angles 90.00, 100.62, 90.00 degrees
With the nearest neighbours (Å) after each atom.
Fractional coordinates of all 6 atoms:
Pa 0.2721 0.2500 0.5442  8 Pa 3.22-3.28, 4 Sn 3.30-3.41
Pa 0.9370 0.2500 0.8741  6 Sn 3.21-3.34, 6 Pa 3.24-3.45
Pa 0.7279 0.7500 0.4558  8 Pa 3.22-3.28, 4 Sn 3.30-3.41
Pa 0.0630 0.7500 0.1259  6 Sn 3.21-3.34, 6 Pa 3.24-3.45
Sn 0.6059 0.2500 0.2118  10 Pa 3.21-3.41, 2 Sn 3.24
Sn 0.3941 0.7500 0.7882  10 Pa 3.21-3.41, 2 Sn 3.24

Computed properties:
The calculated density comes out at 12.88 g/cm3. As for the space group: Cmcm. The calculation puts the total energy at -46.6 eV per cell.

| no. | DOS at the Fermi energy (states/eV/atom) |
| --- | --- |
| 1 | 1.794 |
| 2 | 2.399 |